one | A geometry-optimized HoEr2Ni2 structure. Source: Alexandria, functional PBE.

Results
M_tot	0.0	μB/f.u.

Unit cell a=3.625 b=30.139 c=4.143 alpha=90.00 beta=90.00 gamma=90.00
Space group Cmcm (No. 63)
Unique sites:
1 Ho 0.000 0.122 0.250 (multiplicity 4)
2 Er 0.000 0.214 0.750 (multiplicity 4)
3 Er 0.000 0.453 0.250 (multiplicity 4)
4 Ni 0.000 0.025 0.250 (multiplicity 4)
5 Ni 0.000 0.356 0.250 (multiplicity 4)



two | A geometry-optimized HoEr2Ni2 structure. Source: Alexandria, functional PBE.

Results
M_tot	0.0	μB/f.u.

Unit cell a=11.313 b=3.748 c=5.462 alpha=90.00 beta=104.35 gamma=90.00
Space group C2/m (No. 12)
Unique sites:
1 Ho 0.000 0.000 0.000 (multiplicity 2)
2 Er 0.149 0.500 0.590 (multiplicity 4)
3 Ni 0.211 0.500 0.114 (multiplicity 4)



Which of them is the least stable? Correct choice: two.



one | A geometry-optimized HoErNi structure. Source: Alexandria, functional PBE.

Results
M_tot	0.0	μB/f.u.

Unit cell a=8.714 b=6.716 c=5.024 alpha=90.00 beta=95.42 gamma=90.00
Space group Cm (No. 8)
Unique sites:
1 Ho 0.000 0.236 0.000 (multiplicity 4)
2 Er 0.180 0.500 0.566 (multiplicity 2)
3 Er 0.275 0.000 0.473 (multiplicity 2)
4 Ni 0.250 0.500 0.091 (multiplicity 2)
5 Ni 0.479 0.500 0.488 (multiplicity 2)



two | A geometry-optimized HoErNi structure. Source: Alexandria, functional PBE.

Results
M_tot	0.0	μB/f.u.

Unit cell a=3.376 b=3.376 c=12.330 alpha=90.00 beta=90.00 gamma=90.00
Space group I4mm (No. 107)
Unique sites:
1 Ho 0.000 0.000 0.000 (multiplicity 2)
2 Er 0.000 0.000 0.737 (multiplicity 2)
3 Ni 0.000 0.000 0.367 (multiplicity 2)



three | A geometry-optimized HoErNi structure. Source: Alexandria, functional PBE.

Results
M_tot	0.0	μB/f.u.

Unit cell a=6.652 b=6.652 c=6.652 alpha=90.00 beta=90.00 gamma=90.00
Space group F-43m (No. 216)
Unique sites:
1 Ho 0.000 0.000 0.000 (multiplicity 4)
2 Er 0.000 0.000 0.500 (multiplicity 4)
3 Ni 0.250 0.250 0.250 (multiplicity 4)



Which of them is the least stable? Correct choice: one.



one | A geometry-optimized Ho2ErNi2 structure. Source: Alexandria, functional PBE.

Results
M_tot	0.0	μB/f.u.

Unit cell a=11.433 b=5.661 c=7.070 alpha=90.00 beta=100.53 gamma=90.00
Space group C2/c (No. 15)
Unique sites:
1 Ho 0.161 0.110 0.155 (multiplicity 8)
2 Er 0.000 0.407 0.750 (multiplicity 4)
3 Ni 0.163 0.370 0.512 (multiplicity 8)



two | A geometry-optimized Ho2ErNi2 structure. Source: Alexandria, functional PBE.

Results
M_tot	0.0	μB/f.u.

Unit cell a=11.170 b=3.801 c=5.551 alpha=90.00 beta=106.18 gamma=90.00
Space group C2/m (No. 12)
Unique sites:
1 Ho 0.153 0.000 0.106 (multiplicity 4)
2 Er 0.000 0.500 0.500 (multiplicity 2)
3 Ni 0.200 0.000 0.622 (multiplicity 4)



Which of them is the least stable? Correct choice: two.



one | A geometry-optimized HoErNiRu structure. Source: Alexandria, functional PBE.

Results
M_tot	0.0	μB/f.u.

Unit cell a=6.735 b=6.735 c=6.735 alpha=90.00 beta=90.00 gamma=90.00
Space group F-43m (No. 216)
Unique sites:
1 Ho 0.000 0.000 0.000 (multiplicity 4)
2 Er 0.000 0.000 0.500 (multiplicity 4)
3 Ni 0.250 0.250 0.750 (multiplicity 4)
4 Ru 0.250 0.250 0.250 (multiplicity 4)



two | A geometry-optimized HoErNiRu structure. Source: Alexandria, functional PBE.

Results
M_tot	0.0	μB/f.u.

Unit cell a=3.380 b=3.380 c=6.697 alpha=90.00 beta=90.00 gamma=90.00
Space group P4mm (No. 99)
Unique sites:
1 Ho 0.000 0.000 0.000 (multiplicity 1)
2 Er 0.000 0.000 0.497 (multiplicity 1)
3 Ni 0.500 0.500 0.747 (multiplicity 1)
4 Ru 0.500 0.500 0.250 (multiplicity 1)



Which of them is the least stable? Correct choice: one.



one | A geometry-optimized HoErZnNi structure. Source: Alexandria, functional PBE.

Results
M_tot	0.0	μB/f.u.

Unit cell a=6.890 b=6.890 c=6.890 alpha=90.00 beta=90.00 gamma=90.00
Space group F-43m (No. 216)
Unique sites:
1 Ho 0.000 0.000 0.000 (multiplicity 4)
2 Er 0.000 0.000 0.500 (multiplicity 4)
3 Zn 0.250 0.250 0.250 (multiplicity 4)
4 Ni 0.250 0.250 0.750 (multiplicity 4)



two | A geometry-optimized HoErZnNi structure. Source: Alexandria, functional PBE.

Results
M_tot	0.0	μB/f.u.

Unit cell a=3.438 b=3.438 c=6.929 alpha=90.00 beta=90.00 gamma=90.00
Space group P4mm (No. 99)
Unique sites:
1 Ho 0.000 0.000 0.000 (multiplicity 1)
2 Er 0.000 0.000 0.532 (multiplicity 1)
3 Zn 0.500 0.500 0.268 (multiplicity 1)
4 Ni 0.500 0.500 0.764 (multiplicity 1)



Which of them is the least stable? Correct choice: one.



one | A geometry-optimized HoEr2O structure. Source: Alexandria, functional PBE.

Results
M_tot	0.0	μB/f.u.

Unit cell a=3.4779 b=3.4779 c=25.7649 alpha=90.00 beta=90.00 gamma=120.00
Space group R-3m (No. 166, hexagonal axes)
Unique sites:
1 Ho 0.0000 0.0000 0.0000 (multiplicity 3)
2 Er 0.0000 0.0000 0.2196 (multiplicity 6)
3 O 0.0000 0.0000 0.5000 (multiplicity 3)



two | A geometry-optimized HoEr2O structure. Source: Alexandria, functional PBE.

Results
M_tot	0.0	μB/f.u.

Unit cell a=3.171 b=3.171 c=8.572 alpha=90.00 beta=90.00 gamma=90.00
Space group P4/mmm (No. 123)
Unique sites:
1 Ho 0.000 0.000 0.000 (multiplicity 1)
2 Er 0.500 0.500 0.322 (multiplicity 2)
3 O 0.000 0.000 0.500 (multiplicity 1)



Which of them is the least stable? Correct choice: two.